## CoGeIrRh (PBE)

Data for crystalline CoGeIrRh at its relaxed geometry.

Summary:
V   54.3 Å³/f.u.
M_tot   0.57 μB/atom
Formation enthalpy at 0 K   -0.09 eV per atom
SG   F-43m (216)

Cell lengths 4.2515, 4.2515, 4.2515 Å; angles 60.00, 60.00, 60.00 degrees
Fractional coordinates of all 4 atoms:
Co (0.0000, 0.0000, 0.0000)
Ge (0.5000, 0.5000, 0.5000)
Ir (0.2500, 0.2500, 0.2500)
Rh (0.7500, 0.7500, 0.7500)